This record from the Alexandria database describes a relaxed structure of LaTbNdIn. The functional is GGA-PBE.

Formation energy = -0.159 eV/atom
Volume = 125.18 Å³ per cell
DOS at the Fermi energy = 1.800 states/eV/atom
E above lowest polymorph = 0.0000 eV/atom

Lattice parameters (Å, degrees): 5.615 5.615 5.615 60.00 60.00 60.00
Atoms (fractional coordinates):
La (0.000, 0.000, 0.000)
Tb (0.250, 0.250, 0.250)
Nd (0.500, 0.500, 0.500)
In (0.750, 0.750, 0.750)

This record from the Alexandria database describes a relaxed structure of La2NdIn3Te6. The functional is GGA-PBE.

Volume = 443.78 Å³ per cell
Formation energy (no corrections) = -1.042 eV per atom

Lattice parameters (Å, degrees): 7.953 7.953 8.525 98.95 98.95 120.00
Atoms (fractional coordinates):
La (0.167, 0.833, 0.000)
La (0.833, 0.167, 0.000)
Nd (0.500, 0.500, 0.000)
In (0.000, 0.000, 0.500)
In (0.333, 0.667, 0.500)
In (0.667, 0.333, 0.500)
Te (0.095, 0.424, 0.773)
Te (0.247, 0.247, 0.228)
Te (0.424, 0.095, 0.773)
Te (0.576, 0.905, 0.227)
Te (0.753, 0.753, 0.772)
Te (0.905, 0.576, 0.227)

This record from the Alexandria database describes a relaxed structure of La3Nd3Tl2In. The functional is GGA-PBE.

Formation energy = -0.286 eV/atom
Volume = 292.85 Å³ per cell
DOS at the Fermi energy = 0.953 states/eV/atom

Lattice parameters (Å, degrees): 9.340 9.340 3.876 90.00 90.00 120.00
Atoms (fractional coordinates):
La (0.000, 0.714, 0.000)
La (0.286, 0.286, 0.000)
La (0.714, 0.000, 0.000)
Nd (0.000, 0.387, 0.500)
Nd (0.387, 0.000, 0.500)
Nd (0.613, 0.613, 0.500)
Tl (0.333, 0.667, 0.000)
Tl (0.667, 0.333, 0.000)
In (0.000, 0.000, 0.500)

This record from the Alexandria database describes a relaxed structure of La3Nd3TlIn2. The functional is GGA-PBE.

Formation energy = -0.307 eV/atom
Volume = 292.08 Å³ per cell
DOS at the Fermi energy = 0.961 states/eV/atom

Lattice parameters (Å, degrees): 9.351 9.351 3.857 90.00 90.00 120.00
Atoms (fractional coordinates):
La (0.000, 0.286, 0.000)
La (0.286, 0.000, 0.000)
La (0.714, 0.714, 0.000)
Nd (0.000, 0.610, 0.500)
Nd (0.390, 0.390, 0.500)
Nd (0.610, 0.000, 0.500)
Tl (0.000, 0.000, 0.500)
In (0.333, 0.667, 0.000)
In (0.667, 0.333, 0.000)

This record from the Alexandria database describes a relaxed structure of La5NdTlIn2. The functional is GGA-PBE.

Formation energy = -0.195 eV/atom
Volume = 629.26 Å³ per cell
DOS at the Fermi energy = 1.197 states/eV/atom

Lattice parameters (Å, degrees): 10.909 10.909 10.909 135.48 135.48 64.78
Atoms (fractional coordinates):
La (0.000, 0.000, 0.000)
La (0.065, 0.565, 0.894)
La (0.171, 0.065, 0.500)
La (0.329, 0.829, 0.894)
La (0.435, 0.329, 0.500)
La (0.500, 0.500, 0.000)
La (0.565, 0.671, 0.500)
La (0.671, 0.171, 0.106)
La (0.829, 0.935, 0.500)
La (0.935, 0.435, 0.106)
Nd (0.250, 0.250, 0.000)
Nd (0.750, 0.750, 0.000)
Tl (0.250, 0.750, 0.500)
Tl (0.750, 0.250, 0.500)
In (0.117, 0.383, 0.500)
In (0.383, 0.883, 0.266)
In (0.617, 0.117, 0.734)
In (0.883, 0.617, 0.500)

This record from the Alexandria database describes a relaxed structure of La2Nd6Tm3In. The functional is GGA-PBE.

Formation energy = -0.059 eV/atom
Volume = 393.44 Å³ per cell
DOS at the Fermi energy = 1.158 states/eV/atom

Lattice parameters (Å, degrees): 6.217 6.217 11.940 94.97 94.97 120.05
Atoms (fractional coordinates):
La (0.167, 0.833, 0.000)
La (0.833, 0.167, 0.000)
Nd (0.091, 0.416, 0.746)
Nd (0.260, 0.260, 0.254)
Nd (0.416, 0.091, 0.746)
Nd (0.584, 0.909, 0.254)
Nd (0.740, 0.740, 0.746)
Nd (0.909, 0.584, 0.254)
Tm (0.000, 0.000, 0.500)
Tm (0.333, 0.667, 0.500)
Tm (0.667, 0.333, 0.500)
In (0.500, 0.500, 0.000)

This record from the Alexandria database describes a relaxed structure of LaNdTm2In4. The functional is GGA-PBE.

Formation energy = -0.463 eV/atom
Volume = 222.83 Å³ per cell
DOS at the Fermi energy = 0.406 states/eV/atom

Lattice parameters (Å, degrees): 9.372 9.372 9.372 33.46 33.46 33.46
Atoms (fractional coordinates):
La (0.000, 0.000, 0.000)
Nd (0.500, 0.500, 0.500)
Tm (0.250, 0.250, 0.250)
Tm (0.750, 0.750, 0.750)
In (0.126, 0.126, 0.126)
In (0.376, 0.376, 0.376)
In (0.624, 0.624, 0.624)
In (0.874, 0.874, 0.874)

This record from the Alexandria database describes a relaxed structure of LaNdTmIn. The functional is GGA-PBE.

Formation energy = -0.095 eV/atom
Volume = 119.71 Å³ per cell
DOS at the Fermi energy = 1.820 states/eV/atom
E above lowest polymorph = 0.0174 eV/atom

Lattice parameters (Å, degrees): 5.532 5.532 5.532 60.00 60.00 60.00
Atoms (fractional coordinates):
La (0.000, 0.000, 0.000)
Nd (0.250, 0.250, 0.250)
Tm (0.750, 0.750, 0.750)
In (0.500, 0.500, 0.500)

This record from the Alexandria database describes a relaxed structure of LaNdTmIn. The functional is GGA-PBE.

Formation energy = -0.113 eV/atom
Volume = 122.56 Å³ per cell
DOS at the Fermi energy = 1.498 states/eV/atom
E above lowest polymorph = 0.0000 eV/atom

Lattice parameters (Å, degrees): 5.576 5.576 5.576 60.00 60.00 60.00
Atoms (fractional coordinates):
La (0.000, 0.000, 0.000)
Nd (0.250, 0.250, 0.250)
Tm (0.500, 0.500, 0.500)
In (0.750, 0.750, 0.750)

This record from the Alexandria database describes a relaxed structure of La2NdTm2In5. The functional is GGA-PBE.

Formation energy = -0.372 eV/atom
Volume = 578.29 Å³ per cell
DOS at the Fermi energy = 0.889 states/eV/atom

Lattice parameters (Å, degrees): 11.051 11.051 4.736 90.00 90.00 90.00
Atoms (fractional coordinates):
La (0.176, 0.324, 0.000)
La (0.324, 0.824, 0.000)
La (0.676, 0.176, 0.000)
La (0.824, 0.676, 0.000)
Nd (0.000, 0.000, 0.000)
Nd (0.500, 0.500, 0.000)
Tm (0.122, 0.622, 0.000)
Tm (0.378, 0.122, 0.000)
Tm (0.622, 0.878, 0.000)
Tm (0.878, 0.378, 0.000)
In (0.000, 0.500, 0.500)
In (0.064, 0.801, 0.500)
In (0.199, 0.064, 0.500)
In (0.301, 0.564, 0.500)
In (0.436, 0.301, 0.500)
In (0.500, 0.000, 0.500)
In (0.564, 0.699, 0.500)
In (0.699, 0.436, 0.500)
In (0.801, 0.936, 0.500)
In (0.936, 0.199, 0.500)

This record from the Alexandria database describes a relaxed structure of La2NdTmIn2. The functional is GGA-PBE.

Formation energy = -0.352 eV/atom
Volume = 372.36 Å³ per cell
DOS at the Fermi energy = 1.105 states/eV/atom

Lattice parameters (Å, degrees): 5.221 10.277 6.940 90.00 90.00 90.00
Atoms (fractional coordinates):
La (0.000, 0.057, 0.000)
La (0.000, 0.943, 0.500)
La (0.500, 0.179, 0.239)
La (0.500, 0.821, 0.739)
Nd (0.500, 0.457, 0.882)
Nd (0.500, 0.543, 0.382)
Tm (0.000, 0.309, 0.601)
Tm (0.000, 0.691, 0.101)
In (0.000, 0.382, 0.148)
In (0.000, 0.618, 0.648)
In (0.500, 0.149, 0.719)
In (0.500, 0.851, 0.219)

This record from the Alexandria database describes a relaxed structure of La2Nd2YIn5. The functional is GGA-PBE.

Formation energy = -0.363 eV/atom
Volume = 593.35 Å³ per cell
DOS at the Fermi energy = 0.791 states/eV/atom

Lattice parameters (Å, degrees): 11.226 11.226 4.709 90.00 90.00 90.00
Atoms (fractional coordinates):
La (0.177, 0.323, 0.000)
La (0.323, 0.823, 0.000)
La (0.677, 0.177, 0.000)
La (0.823, 0.677, 0.000)
Nd (0.130, 0.630, 0.000)
Nd (0.370, 0.130, 0.000)
Nd (0.630, 0.870, 0.000)
Nd (0.870, 0.370, 0.000)
Y (0.000, 0.000, 0.000)
Y (0.500, 0.500, 0.000)
In (0.000, 0.500, 0.500)
In (0.058, 0.810, 0.500)
In (0.190, 0.058, 0.500)
In (0.310, 0.558, 0.500)
In (0.442, 0.310, 0.500)
In (0.500, 0.000, 0.500)
In (0.558, 0.690, 0.500)
In (0.690, 0.442, 0.500)
In (0.810, 0.942, 0.500)
In (0.942, 0.190, 0.500)

This record from the Alexandria database describes a relaxed structure of LaNdZnIn. The functional is GGA-PBE.

Formation energy = -0.390 eV/atom
Volume = 113.39 Å³ per cell
DOS at the Fermi energy = 1.256 states/eV/atom

Lattice parameters (Å, degrees): 5.433 5.433 5.433 60.00 60.00 60.00
Atoms (fractional coordinates):
La (0.000, 0.000, 0.000)
Nd (0.500, 0.500, 0.500)
Zn (0.750, 0.750, 0.750)
In (0.250, 0.250, 0.250)

This record from the Alexandria database describes a relaxed structure of La2NdZn2In2. The functional is GGA-PBE.

Formation energy = -0.331 eV/atom
Volume = 182.75 Å³ per cell
DOS at the Fermi energy = 0.716 states/eV/atom

Lattice parameters (Å, degrees): 9.938 9.938 9.938 27.35 27.35 27.35
Atoms (fractional coordinates):
La (0.137, 0.137, 0.137)
La (0.863, 0.863, 0.863)
Nd (0.000, 0.000, 0.000)
Zn (0.406, 0.406, 0.406)
Zn (0.594, 0.594, 0.594)
In (0.265, 0.265, 0.265)
In (0.735, 0.735, 0.735)

This record from the Alexandria database describes a relaxed structure of LaNdZn2In2. The functional is GGA-PBE.

Formation energy = -0.458 eV/atom
Volume = 152.51 Å³ per cell
DOS at the Fermi energy = 0.585 states/eV/atom

Lattice parameters (Å, degrees): 4.768 4.768 7.745 90.00 90.00 120.00
Atoms (fractional coordinates):
La (0.000, 0.000, 0.000)
Nd (0.000, 0.000, 0.500)
Zn (0.333, 0.667, 0.276)
Zn (0.667, 0.333, 0.724)
In (0.333, 0.667, 0.739)
In (0.667, 0.333, 0.261)

This record from the Alexandria database describes a relaxed structure of LaInNi2. The functional is GGA-PBE.

Formation energy = -0.147 eV/atom
Volume = 75.96 Å³ per cell
DOS at the Fermi energy = 0.707 states/eV/atom

Lattice parameters (Å, degrees): 3.371 3.369 6.689 90.00 90.09 90.00
Atoms (fractional coordinates):
La (0.000, 0.000, 0.000)
In (0.000, 0.000, 0.500)
Ni (0.500, 0.500, 0.300)
Ni (0.500, 0.500, 0.700)

This record from the Alexandria database describes a relaxed structure of La2InNi2. The functional is GGA-PBE.

Formation energy = -0.066 eV/atom
Volume = 249.52 Å³ per cell
DOS at the Fermi energy = 0.739 states/eV/atom

Lattice parameters (Å, degrees): 8.478 8.478 3.472 90.00 90.00 90.00
Atoms (fractional coordinates):
La (0.157, 0.343, 0.000)
La (0.343, 0.843, 0.000)
La (0.657, 0.157, 0.000)
La (0.843, 0.657, 0.000)
In (0.000, 0.000, 0.000)
In (0.500, 0.500, 0.000)
Ni (0.114, 0.614, 0.500)
Ni (0.386, 0.114, 0.500)
Ni (0.614, 0.886, 0.500)
Ni (0.886, 0.386, 0.500)

This record from the Alexandria database describes a relaxed structure of LaIn12Ni5. The functional is GGA-PBE.

Formation energy = -0.112 eV/atom
Volume = 378.96 Å³ per cell
DOS at the Fermi energy = 0.508 states/eV/atom

Lattice parameters (Å, degrees): 7.980 7.980 7.980 118.50 112.20 98.34
Atoms (fractional coordinates):
La (0.000, 0.000, 0.000)
In (0.144, 0.829, 0.315)
In (0.229, 0.324, 0.553)
In (0.229, 0.676, 0.905)
In (0.270, 0.080, 0.810)
In (0.270, 0.459, 0.190)
In (0.485, 0.171, 0.315)
In (0.515, 0.829, 0.685)
In (0.730, 0.541, 0.810)
In (0.730, 0.920, 0.190)
In (0.771, 0.324, 0.095)
In (0.771, 0.676, 0.447)
In (0.856, 0.171, 0.685)
Ni (0.123, 0.623, 0.500)
Ni (0.500, 0.173, 0.673)
Ni (0.500, 0.500, 0.000)
Ni (0.500, 0.827, 0.327)
Ni (0.877, 0.377, 0.500)

This record from the Alexandria database describes a relaxed structure of LaIn2Ni. The functional is GGA-PBE.

Formation energy = -0.191 eV/atom
Volume = 93.10 Å³ per cell
DOS at the Fermi energy = 0.770 states/eV/atom

Lattice parameters (Å, degrees): 3.451 3.451 7.817 90.00 90.00 90.00
Atoms (fractional coordinates):
La (0.000, 0.000, 0.000)
In (0.000, 0.000, 0.412)
In (0.500, 0.500, 0.678)
Ni (0.500, 0.500, 0.242)

This record from the Alexandria database describes a relaxed structure of LaIn6Ni3. The functional is GGA-PBE.

Formation energy = -0.302 eV/atom
Volume = 414.17 Å³ per cell
DOS at the Fermi energy = 0.518 states/eV/atom
E above lowest polymorph = 0.0000 eV/atom

Lattice parameters (Å, degrees): 4.421 7.665 12.223 90.00 90.00 90.00
Atoms (fractional coordinates):
La (0.250, 0.250, 0.177)
La (0.750, 0.750, 0.823)
In (0.250, 0.051, 0.917)
In (0.250, 0.250, 0.490)
In (0.250, 0.449, 0.917)
In (0.250, 0.545, 0.661)
In (0.250, 0.750, 0.250)
In (0.250, 0.955, 0.661)
In (0.750, 0.045, 0.339)
In (0.750, 0.250, 0.750)
In (0.750, 0.455, 0.339)
In (0.750, 0.551, 0.083)
In (0.750, 0.750, 0.510)
In (0.750, 0.949, 0.083)
Ni (0.250, 0.575, 0.435)
Ni (0.250, 0.750, 0.034)
Ni (0.250, 0.925, 0.435)
Ni (0.750, 0.075, 0.565)
Ni (0.750, 0.250, 0.966)
Ni (0.750, 0.425, 0.565)

Computed magnetization, in the same sequence as the records: 0.178 0.000 0.000 0.000 0.000 0.000 0.000 0.000 0.315 0.000 0.000 0.000 0.000 0.000 0.000 0.000 0.000 0.000 0.000 0.000 μB/atom.